The following is a PBE calculation of a relaxed CaThH2 crystal, from Alexandria via LeMat-Bulk.

Lattice parameters (Å, degrees): 3.5091 3.5091 18.8711 90.00 90.00 120.00
Space group R3m (No. 160, hexagonal axes)
Unique sites:
Ca  0.0000  0.0000  0.0000
Th  0.0000  0.0000  0.1735
H  0.0000  0.0000  0.4173
H  0.0000  0.0000  0.5878

Summary:
* D(E_F): 8.6 states/eV/cell
* offset from the most stable computed form: 50.9 kJ/mol of formula units